B2C: relaxed, PBE.

Cell: 3.7202 3.9601 3.9269 Å, 90.00 121.13 90.00°
Positions (direct):
C1 0.5000 0.4551 0.5000
C2 0.5000 0.9551 0.0000
B1 0.7324 0.2029 0.3659
B2 0.2676 0.2029 0.6341
B3 0.7324 0.7029 0.8659
B4 0.2676 0.7029 0.1341

Computed properties:
- Fermi-level density of states: 0.5 states/eV/f.u.
- Spin magnetization: 0.00 Bohr magnetons per cell
- Space-group type: No. 5
- Crystal system: monoclinic
- Energy of formation: 0.320 eV/atom